Record 1
An optimized crystal structure of Re2TcRh. Source: the Alexandria database, functional PBE.

a = 9.1050 Å, b = 9.1050 Å, c = 9.1050 Å
α = 17.39°, β = 17.39°, γ = 17.39°
Positions (direct):
1 Re 0.0007 0.0007 0.0007
2 Re 0.2496 0.2496 0.2496
3 Rh 0.5002 0.5002 0.5002
4 Tc 0.7496 0.7496 0.7496

space group: R3m (160)
formation energy from the elements: -15 meV per atom
offset from the most stable computed form: 28 meV/atom

Record 2
An optimized crystal structure of ReTcRh2. Source: the Alexandria database, functional PBE.

a = 2.7253 Å, b = 2.7253 Å, c = 7.8204 Å
α = 90.00°, β = 90.00°, γ = 90.01°
Positions (direct):
1 Re 0.5000 0.5000 0.7575
2 Rh 0.0000 0.0000 0.9912
3 Rh 0.5000 0.5000 0.2596
4 Tc 0.0000 0.0000 0.4917

space group: P4mm (99)
formation energy from the elements: -68 meV per atom
offset from the most stable computed form: 110 meV/atom

Record 3
An optimized crystal structure of ReTc2Rh. Source: the Alexandria database, functional PBE.

a = 3.9005 Å, b = 2.7256 Å, c = 6.1316 Å
α = 63.62°, β = 90.00°, γ = 90.00°
Positions (direct):
1 Re 0.5000 0.2500 0.2500
2 Rh 0.5000 0.7500 0.7500
3 Tc 0.0000 0.9947 0.0064
4 Tc 0.0000 0.5053 0.4936

space group: Pmmm (47)
formation energy from the elements: -3 meV per atom
offset from the most stable computed form: 40 meV/atom

Record 4
An optimized crystal structure of ReTc3Rh. Source: the Alexandria database, functional PBE.

a = 4.6221 Å, b = 4.6221 Å, c = 4.6221 Å
α = 90.00°, β = 90.00°, γ = 90.00°
Positions (direct):
1 Re 0.0000 0.0000 0.0000
2 Rh 0.5000 0.5000 0.5000
3 Tc 0.0000 0.5000 0.0000
4 Tc 0.0000 0.0000 0.5000
5 Tc 0.5000 0.0000 0.0000

space group: Pm-3m (221)
formation energy from the elements: 1833 meV per atom
offset from the most stable computed form: 1824 meV/atom

Record 5
An optimized crystal structure of ReTcRh2. Source: the Alexandria database, functional PBE.

a = 4.6731 Å, b = 4.6731 Å, c = 4.6731 Å
α = 130.55°, β = 130.55°, γ = 72.53°
Positions (direct):
1 Re 0.2500 0.7500 0.5000
2 Rh 0.0000 0.0000 0.0000
3 Rh 0.7500 0.2500 0.5000
4 Tc 0.5000 0.5000 0.0000

space group: I-4m2 (119)
formation energy from the elements: -52 meV per atom
offset from the most stable computed form: 126 meV/atom

Record 6
An optimized crystal structure of ReTc2Rh. Source: the Alexandria database, functional PBE.

a = 4.3769 Å, b = 4.3769 Å, c = 4.3766 Å
α = 60.00°, β = 60.00°, γ = 60.00°
Positions (direct):
1 Re 0.5000 0.5000 0.5000
2 Tc 0.0000 0.0000 0.0000
3 Tc 0.2499 0.2499 0.2502
4 Rh 0.7501 0.7501 0.7498

space group: F-43m (216)
formation energy from the elements: 355 meV per atom
offset from the most stable computed form: 398 meV/atom

Record 7
An optimized crystal structure of Re2TcRh. Source: the Alexandria database, functional PBE.

a = 4.3843 Å, b = 4.3843 Å, c = 4.3876 Å
α = 60.03°, β = 60.03°, γ = 60.00°
Positions (direct):
1 Re 0.0002 0.0002 0.9995
2 Re 0.2500 0.2500 0.2501
3 Tc 0.5001 0.5001 0.4998
4 Rh 0.7498 0.7498 0.7506

space group: F-43m (216)
formation energy from the elements: 315 meV per atom
offset from the most stable computed form: 358 meV/atom

Record 8
An optimized crystal structure of ReTcRh2. Source: the Alexandria database, functional PBE.

a = 4.7822 Å, b = 4.7822 Å, c = 2.6974 Å
α = 90.00°, β = 90.00°, γ = 111.28°
Positions (direct):
1 Re 0.0000 0.5000 0.5000
2 Rh 0.0000 0.0000 0.0000
3 Rh 0.5000 0.5000 0.0000
4 Tc 0.5000 0.0000 0.5000

space group: Cmmm (65)
formation energy from the elements: -59 meV per atom
offset from the most stable computed form: 119 meV/atom

Record 9
An optimized crystal structure of ReTc2Rh. Source: the Alexandria database, functional PBE.

a = 2.7327 Å, b = 2.7327 Å, c = 7.8004 Å
α = 90.00°, β = 90.00°, γ = 90.00°
Positions (direct):
1 Re 0.0000 0.0000 0.5002
2 Rh 0.5000 0.5000 0.7477
3 Tc 0.0000 0.0000 0.0050
4 Tc 0.5000 0.5000 0.2471

space group: P4mm (99)
formation energy from the elements: -17 meV per atom
offset from the most stable computed form: 27 meV/atom

Record 10
An optimized crystal structure of Re2TcRh. Source: the Alexandria database, functional PBE.

a = 2.7267 Å, b = 3.9224 Å, c = 5.4951 Å
α = 90.00°, β = 90.00°, γ = 90.00°
Positions (direct):
1 Re 0.0000 0.0000 0.9899
2 Re 0.0000 0.0000 0.5101
3 Rh 0.5000 0.5000 0.2500
4 Tc 0.5000 0.5000 0.7500

space group: Pmmm (47)
formation energy from the elements: -8 meV per atom
offset from the most stable computed form: 36 meV/atom

Record 11
An optimized crystal structure of ReTcRh2. Source: the Alexandria database, functional PBE.

a = 7.0279 Å, b = 7.0279 Å, c = 5.6169 Å
α = 51.27°, β = 51.27°, γ = 90.00°
Positions (direct):
1 Re 0.0000 0.0000 0.0000
2 Re 0.7500 0.2500 0.5000
3 Rh 0.6505 0.1250 0.2500
4 Rh 0.0995 0.6250 0.2500
5 Rh 0.3750 0.3495 0.7500
6 Rh 0.8750 0.9005 0.7500
7 Tc 0.5000 0.5000 0.0000
8 Tc 0.2500 0.7500 0.5000

space group: I-42d (122)
formation energy from the elements: 705 meV per atom
offset from the most stable computed form: 883 meV/atom

Record 12
An optimized crystal structure of Re2Tc2Rh. Source: the Alexandria database, functional PBE.

a = 2.7307 Å, b = 7.2856 Å, c = 7.8191 Å
α = 105.53°, β = 89.97°, γ = 100.86°
Positions (direct):
1 Re 0.1983 0.8964 0.8483
2 Re 0.8017 0.1036 0.1517
3 Re 0.5998 0.7042 0.0510
4 Re 0.4002 0.2958 0.9490
5 Tc 0.7994 0.0986 0.6488
6 Tc 0.2006 0.9014 0.3512
7 Tc 0.3967 0.2910 0.4479
8 Tc 0.6033 0.7090 0.5521
9 Rh 0.0001 0.4995 0.7517
10 Rh 0.9999 0.5005 0.2483

space group: P-1 (2)
formation energy from the elements: 9 meV per atom
offset from the most stable computed form: 0 meV/atom

Question: Which value of formation energy from the elements does entry 1 give?
Answer: -15 meV per atom